The following is a GGA+U calculation of Cs2ZrW3O12 after structural relaxation, from the Alexandria database.

Properties
The calculation puts the total moment at 0.0 μB per cell. The density of states at the Fermi level is 0.0 states/eV/f.u. For the total energy, the calculation gives -133.07 eV per cell. As for the space-group type: C2, No. 5.

Lattice parameters (Å, degrees): 7.4499 7.4499 7.5614 119.52 119.52 60.00
With the nearest neighbours (Å) after each atom.
Fractional positions:
Cs (0.1272, 0.1272, 0.3807)  6 O 3.27-3.40
Cs (0.8728, 0.8728, 0.6193)  6 O 3.27-3.40
Zr (0.5003, 0.4997, 0.5000)  6 O 2.11
W (0.4995, 0.0006, 0.9997)  6 O 1.91-1.96
W (0.4995, 0.5005, 0.0000)  6 O 1.91-1.96
W (0.9994, 0.5005, 0.0003)  6 O 1.91-1.96
O (0.1696, 0.5646, 0.2990)  1 W 1.91, 1 Zr 2.11
O (0.1925, 0.1927, 0.9479)  2 W 1.96
O (0.1926, 0.5627, 0.9480)  2 W 1.96
O (0.4354, 0.4351, 0.7011)  1 W 1.91, 1 Zr 2.11
O (0.4354, 0.8304, 0.7010)  1 W 1.91, 1 Zr 2.11
O (0.4373, 0.8074, 0.0520)  2 W 1.96
O (0.5626, 0.1927, 0.9478)  2 W 1.96
O (0.5649, 0.1693, 0.2989)  1 W 1.91, 1 Zr 2.11
O (0.5649, 0.5646, 0.2989)  1 W 1.91, 1 Zr 2.11
O (0.8073, 0.4374, 0.0522)  2 W 1.96
O (0.8073, 0.8075, 0.0521)  2 W 1.96
O (0.8307, 0.4351, 0.7011)  1 W 1.91, 1 Zr 2.11